Entry from Alexandria: a relaxed structure of PuMgVO6 (PBE with a Hubbard U).

abc: 5.278 5.278 9.012
angles: 90.00 90.00 120.00
Fractional positions:
1 Pu 0.333 0.667 0.250
2 Pu 0.667 0.333 0.750
3 Mg 0.000 0.000 0.000
4 Mg 0.000 0.000 0.500
5 V 0.333 0.667 0.750
6 V 0.667 0.333 0.250
7 O 0.019 0.358 0.634
8 O 0.019 0.661 0.866
9 O 0.339 0.358 0.866
10 O 0.339 0.981 0.634
11 O 0.358 0.019 0.134
12 O 0.358 0.339 0.366
13 O 0.642 0.661 0.634
14 O 0.642 0.981 0.866
15 O 0.661 0.019 0.366
16 O 0.661 0.642 0.134
17 O 0.981 0.339 0.134
18 O 0.981 0.642 0.366

Results
Final energy ... -8.218 eV/atom